Below is a geometry-optimized NbFeH2 structure, with properties calculated at the GGA-PBEsol level.

The calculation puts the total moment at 0.250 Bohr magnetons per cell. The total energy is -105.955 eV/cell.

a b c (Å): 3.960 3.960 8.550
angles (deg): 90.00 90.00 90.00
Space group I-42d (No. 122)
Inequivalent atoms, fractional coordinates:
Nb: 0.000 0.000 0.000
Fe: 0.000 0.000 0.500
H: 0.179 0.250 0.625